Record 1
Here is CuSe2 after structural relaxation from Alexandria. Energies are from PBE.

## Properties
* space group: P-62m, No. 189
* total DFT energy (no corrections): -30.50 eV for the cell shown

The structure in POSCAR format:
```
CuSe2
1.0
7.110 0.000 0.000
-3.555 6.158 0.000
0.000 0.000 3.738
Cu Se
3 6
Direct
0.000 0.000 0.000 Cu
0.333 0.667 0.500 Cu
0.667 0.333 0.500 Cu
0.000 0.288 0.500 Se
0.000 0.603 0.000 Se
0.288 0.000 0.500 Se
0.397 0.397 0.000 Se
0.603 0.000 0.000 Se
0.712 0.712 0.500 Se
```

Record 2
Here is CuSe3 after structural relaxation from Alexandria. Energies are from PBE.

## Properties
* space group: Cmcm, No. 63
* total DFT energy (no corrections): -27.56 eV for the cell shown

The structure in POSCAR format:
```
CuSe3
1.0
3.684 -6.882 0.000
3.684 6.882 0.000
0.000 0.000 3.662
Cu Se
2 6
Direct
0.068 0.932 0.750 Cu
0.932 0.068 0.250 Cu
0.101 0.343 0.750 Se
0.256 0.744 0.250 Se
0.343 0.101 0.250 Se
0.657 0.899 0.750 Se
0.744 0.256 0.750 Se
0.899 0.657 0.250 Se
```

Record 3
Here is CuSe2 after structural relaxation from Alexandria. Energies are from PBE.

## Properties
* space group: R-3m, No. 166
* total DFT energy (no corrections): -10.83 eV for the cell shown

The structure in POSCAR format:
```
CuSe2
1.0
1.813 1.046 5.123
-1.813 1.046 5.123
0.000 -2.093 5.123
Cu Se
1 2
Direct
0.000 0.000 0.000 Cu
0.246 0.246 0.246 Se
0.754 0.754 0.754 Se
```

Record 4
Here is Cu7Se after structural relaxation from Alexandria. Energies are from PBE.

## Properties
* space group: Fm-3m, No. 225
* total DFT energy (no corrections): -31.42 eV for the cell shown

The structure in POSCAR format:
```
Cu7Se
1.0
0.000 3.723 3.723
3.723 0.000 3.723
3.723 3.723 0.000
Cu Se
7 1
Direct
0.000 0.000 0.000 Cu
0.000 0.000 0.500 Cu
0.000 0.500 0.000 Cu
0.000 0.500 0.500 Cu
0.500 0.000 0.000 Cu
0.500 0.000 0.500 Cu
0.500 0.500 0.000 Cu
0.500 0.500 0.500 Se
```

Record 5
Here is Cu3Se after structural relaxation from Alexandria. Energies are from PBE.

## Properties
* space group: I4/mmm, No. 139
* total DFT energy (no corrections): -30.78 eV for the cell shown

The structure in POSCAR format:
```
Cu3Se
1.0
-1.902 1.902 7.691
1.902 -1.902 7.691
1.902 1.902 -7.691
Cu Se
6 2
Direct
0.000 0.500 0.500 Cu
0.116 0.116 0.000 Cu
0.250 0.750 0.500 Cu
0.500 0.000 0.500 Cu
0.750 0.250 0.500 Cu
0.884 0.884 0.000 Cu
0.367 0.367 0.000 Se
0.633 0.633 0.000 Se
```

Record 6
Here is Cu9Se5 after structural relaxation from Alexandria. Energies are from PBE.

## Properties
* space group: P1, No. 1
* ΔE to the lowest computed polymorph: 6 meV/atom

The structure in POSCAR format:
```
Cu9Se5
1.0
5.843 0.000 0.000
2.895 6.361 0.000
2.848 0.396 6.447
Cu Se
9 5
Direct
0.000 0.000 0.000 Cu
0.001 0.366 0.755 Cu
0.138 0.613 0.208 Cu
0.194 0.592 0.831 Cu
0.255 0.214 0.388 Cu
0.361 0.900 0.649 Cu
0.493 0.988 0.956 Cu
0.744 0.156 0.362 Cu
0.873 0.774 0.581 Cu
0.096 0.290 0.093 Se
0.343 0.493 0.473 Se
0.540 0.644 0.899 Se
0.675 0.866 0.279 Se
0.884 0.093 0.677 Se
```